Record 1
# NbSnHPd2 PBE relaxed
# SG: No. 123
# size of the total moment: 0.00 Bohr magnetons per cell
# final energy: -5.812 eV/atom
# crystal system: tetragonal
data_NbSnHPd2
_cell_length_a 4.031
_cell_length_b 4.031
_cell_length_c 4.437
_cell_angle_alpha 90.00
_cell_angle_beta 90.00
_cell_angle_gamma 90.00
_symmetry_space_group_name_H-M 'P 1'
_symmetry_Int_Tables_number 1
loop_
_symmetry_equiv_pos_as_xyz
'x,y,z'
loop_
_atom_site_label
_atom_site_type_symbol
_atom_site_fract_x
_atom_site_fract_y
_atom_site_fract_z
Nb1 Nb 0.000 0.000 0.500
H1 H 0.000 0.000 0.000
Sn1 Sn 0.500 0.500 0.500
Pd1 Pd 0.000 0.500 0.000
Pd2 Pd 0.500 0.000 0.000

Record 2
# NbTcHPd2 PBE relaxed
# SG: No. 123
# energy above the lowest structure with this stoichiometry: 0.000 eV per atom
# size of the total moment: 0.00 Bohr magnetons per cell
# final energy: -6.982 eV/atom
# crystal system: tetragonal
data_NbTcHPd2
_cell_length_a 3.921
_cell_length_b 3.921
_cell_length_c 4.191
_cell_angle_alpha 90.00
_cell_angle_beta 90.00
_cell_angle_gamma 90.00
_symmetry_space_group_name_H-M 'P 1'
_symmetry_Int_Tables_number 1
loop_
_symmetry_equiv_pos_as_xyz
'x,y,z'
loop_
_atom_site_label
_atom_site_type_symbol
_atom_site_fract_x
_atom_site_fract_y
_atom_site_fract_z
Nb1 Nb 0.500 0.500 0.500
Tc1 Tc 0.000 0.000 0.500
Pd1 Pd 0.500 0.000 0.000
Pd2 Pd 0.000 0.500 0.000
H1 H 0.000 0.000 0.000

Record 3
# Nb2TcHPd PBE relaxed
# SG: No. 123
# energy above the lowest structure with this stoichiometry: 0.000 eV per atom
# size of the total moment: 0.00 Bohr magnetons per cell
# final energy: -7.974 eV/atom
# crystal system: tetragonal
data_Nb2TcHPd
_cell_length_a 4.180
_cell_length_b 3.886
_cell_length_c 4.180
_cell_angle_alpha 90.00
_cell_angle_beta 90.00
_cell_angle_gamma 90.00
_symmetry_space_group_name_H-M 'P 1'
_symmetry_Int_Tables_number 1
loop_
_symmetry_equiv_pos_as_xyz
'x,y,z'
loop_
_atom_site_label
_atom_site_type_symbol
_atom_site_fract_x
_atom_site_fract_y
_atom_site_fract_z
Nb1 Nb 0.000 0.000 0.500
Nb2 Nb 0.500 0.000 0.000
H1 H 0.000 0.000 0.000
Tc1 Tc 0.000 0.500 0.000
Pd1 Pd 0.500 0.500 0.500

Record 4
# NbTcHPd2 PBE relaxed
# SG: No. 123
# energy above the lowest structure with this stoichiometry: 0.918 eV per atom
# size of the total moment: 0.00 Bohr magnetons per cell
# final energy: -6.064 eV/atom
# crystal system: tetragonal
data_NbTcHPd2
_cell_length_a 4.951
_cell_length_b 3.142
_cell_length_c 4.951
_cell_angle_alpha 90.00
_cell_angle_beta 90.00
_cell_angle_gamma 90.00
_symmetry_space_group_name_H-M 'P 1'
_symmetry_Int_Tables_number 1
loop_
_symmetry_equiv_pos_as_xyz
'x,y,z'
loop_
_atom_site_label
_atom_site_type_symbol
_atom_site_fract_x
_atom_site_fract_y
_atom_site_fract_z
H1 H 0.000 0.500 0.000
Nb1 Nb 0.500 0.500 0.500
Tc1 Tc 0.000 0.000 0.000
Pd1 Pd 0.000 0.000 0.500
Pd2 Pd 0.500 0.000 0.000